[1]
Density functional theory data (PBE) for an optimized crystal structure of NiMoC.

## Properties
Space-group type: Pmm2 (25)
Energy of formation from the pure elements, kcal/mol of atoms: 2.00
N(E_F), states/eV/atom: 0.52
Energy above the most stable polymorph in this dataset, eV per atom: 0.0326
E, eV per atom: -8.53
Calculated density, g/cm³: 8.159
M_tot, μB per formula unit: 0.0

a b c (Å): 3.003 3.767 2.998
angles (deg): 90.00 90.00 90.00
Positions (direct):
1 C 0.000 0.000 0.486
2 Mo 0.500 0.000 0.979
3 Ni 0.000 0.500 0.426

[2]
Density functional theory data (PBE) for an optimized crystal structure of KCdHSe2.

## Properties
Space-group type: Cmme (67)
N(E_F), states/eV/atom: 0.00
E, eV per atom: -3.07
Calculated density, g/cm³: 3.982
M_tot, μB per formula unit: 0.0

a b c (Å): 5.358 6.990 7.747
angles (deg): 116.82 90.00 90.00
Positions (direct):
1 Se 0.784 0.900 0.800
2 H 0.000 0.000 0.000
3 H 0.000 0.500 0.000
4 K 0.265 0.750 0.500
5 Se 0.216 0.100 0.200
6 Se 0.216 0.400 0.800
7 Cd 0.500 0.250 0.000
8 Se 0.784 0.600 0.200
9 Cd 0.500 0.750 0.000
10 K 0.735 0.250 0.500

[3]
Density functional theory data (PBE) for an optimized crystal structure of BaAlW2.

## Properties
Space-group type: R-3m (166)
Energy of formation from the pure elements, kcal/mol of atoms: 24.02
N(E_F), states/eV/atom: 1.44
E, eV per atom: -6.85
Calculated density, g/cm³: 10.838
M_tot, μB per formula unit: 0.0

a b c (Å): 10.813 10.813 10.813
angles (deg): 15.78 15.78 15.78
Positions (direct):
1 W 0.985 0.985 0.985
2 W 0.515 0.515 0.515
3 Ba 0.750 0.750 0.750
4 Al 0.250 0.250 0.250

[4]
Density functional theory data (PBE) for an optimized crystal structure of YTi2CdOs.

## Properties
Space-group type: P4/mmm (123)
Energy of formation from the pure elements, kcal/mol of atoms: 48.12
N(E_F), states/eV/atom: 1.11
E, eV per atom: -4.79
Calculated density, g/cm³: 7.324
M_tot, μB per formula unit: 1.0

a b c (Å): 4.592 5.239 4.592
angles (deg): 90.00 90.00 90.00
Last column: magnetic moment on the atom in μB.
Positions (direct):
1 Ti 0.500 0.000 0.000  -0.16
2 Os 0.500 0.500 0.500  1.24
3 Ti 0.000 0.000 0.500  -0.08
4 Cd 0.000 0.500 0.000  -0.01
5 Y 0.000 0.000 0.000  -0.01

[5]
Density functional theory data (PBE) for an optimized crystal structure of LaCd2BiPt.

## Properties
Space-group type: P4/mmm (123)
Energy of formation from the pure elements, kcal/mol of atoms: -10.20
N(E_F), states/eV/atom: 0.67
E, eV per atom: -3.78
Calculated density, g/cm³: 8.511
M_tot, μB per formula unit: 0.0

a b c (Å): 5.225 5.225 5.487
angles (deg): 90.00 90.00 90.00
Positions (direct):
1 Pt 0.000 0.000 0.000
2 La 0.000 0.000 0.500
3 Cd 0.500 0.000 0.000
4 Cd 0.000 0.500 0.000
5 Bi 0.500 0.500 0.500

[6]
Density functional theory data (PBE) for an optimized crystal structure of Ca3Al2Cu4.

## Properties
Space-group type: C2/m (12)
Energy of formation from the pure elements, kcal/mol of atoms: -5.86
N(E_F), states/eV/atom: 0.64
E, eV per atom: -3.57
Calculated density, g/cm³: 3.838
M_tot, μB per formula unit: 0.0

a b c (Å): 4.289 5.694 8.353
angles (deg): 100.45 90.00 112.13
Positions (direct):
1 Cu 0.256 0.513 0.917
2 Ca 0.624 0.249 0.382
3 Ca 0.000 0.000 0.000
4 Ca 0.376 0.751 0.618
5 Cu 0.085 0.169 0.637
6 Al 0.322 0.643 0.219
7 Al 0.678 0.357 0.781
8 Cu 0.915 0.831 0.363
9 Cu 0.744 0.487 0.083

[7]
Density functional theory data (PBE) for an optimized crystal structure of PrZn2Cd.

## Properties
Space-group type: Fm-3m (225)
Energy of formation from the pure elements, kcal/mol of atoms: -7.38
N(E_F), states/eV/atom: 0.25
Energy above the most stable polymorph in this dataset, eV per atom: 0.0000
E, eV per atom: -2.38
Calculated density, g/cm³: 7.505
M_tot, μB per formula unit: 0.0

a b c (Å): 4.935 4.935 4.935
angles (deg): 60.00 60.00 60.00
Positions (direct):
1 Cd 0.500 0.500 0.500
2 Pr 0.000 0.000 0.000
3 Zn 0.750 0.750 0.750
4 Zn 0.250 0.250 0.250

[8]
Density functional theory data (PBE) for an optimized crystal structure of AsWSe2.

## Properties
Space-group type: I-4m2 (119)
ΔE_f (raw), meV/atom: 687
N(E_F), states/eV/atom: 0.68
E, eV per atom: -5.46
Calculated density, g/cm³: 9.925
M_tot, μB per formula unit: 0.0

a b c (Å): 4.863 4.863 4.863
angles (deg): 127.80 127.80 76.95
Positions (direct):
1 As 0.750 0.250 0.500
2 Se 0.000 0.000 0.000
3 Se 0.250 0.750 0.500
4 W 0.500 0.500 0.000